HfSc2WO | GGA+U | optimized geometry

* total magnetization: 0.4471 μB/atom
* DOS(E_F): 3.5 states/eV/cell
* E_tot: -5.32 eV per atom

The structure in CIF format:
```
data_HfSc2WO
_space_group_name_H-M_alt 'P 4/m m m'
_space_group_IT_number 123
_space_group_name_Hall '-P 4 2'
_cell_length_a 5.2163
_cell_length_b 5.2163
_cell_length_c 5.0149
_cell_angle_alpha 90.00
_cell_angle_beta 90.00
_cell_angle_gamma 90.00
loop_
_atom_site_label
_atom_site_type_symbol
_atom_site_fract_x
_atom_site_fract_y
_atom_site_fract_z
Hf1 Hf 0.0000 0.0000 0.0000
Sc1 Sc 0.0000 0.5000 0.0000
W1 W 0.0000 0.0000 0.5000
O1 O 0.5000 0.5000 0.5000
```